Entry i
DFT (PBE) results for K2BaAg2 after structural relaxation.

```
K2BaAg2
1.0
8.680 0.000 0.000
0.000 8.680 0.000
0.000 0.000 5.374
Ag K Ba
4 4 2
Direct
0.616 0.116 0.000
0.884 0.616 0.000
0.384 0.884 0.000
0.116 0.384 0.000
0.839 0.339 0.500
0.161 0.661 0.500
0.339 0.161 0.500
0.661 0.839 0.500
0.000 0.000 0.000
0.500 0.500 0.000
```



Entry ii
DFT (PBE) results for K2BaAg2 after structural relaxation.

```
K2BaAg2
1.0
-0.718 -5.598 -7.916
-0.541 -7.902 5.637
-3.933 0.348 0.111
K Ag Ba
4 4 2
Direct
0.379 0.879 0.000
0.621 0.121 0.000
0.879 0.621 0.000
0.121 0.379 0.000
0.818 0.318 0.500
0.682 0.818 0.500
0.318 0.182 0.500
0.182 0.682 0.500
0.500 0.500 0.000
0.000 0.000 0.000
```



Entry iii
DFT (PBE) results for K2BaAg2 after structural relaxation.

```
K2BaAg2
1.0
5.001 0.000 0.000
0.000 5.001 0.000
2.501 2.501 7.822
Ba Ag K
1 2 2
Direct
0.000 0.000 0.000
0.412 0.412 0.177
0.588 0.588 0.823
0.250 0.750 0.500
0.750 0.250 0.500
```



Stability summary - winner: entry iii; margin: 12 meV per atom.



Entry i
DFT (PBE) results for KBaAg4 after structural relaxation.

```
KBaAg4
1.0
6.054 0.000 0.000
3.027 5.243 0.000
3.027 1.748 4.943
Ag Ba K
4 1 1
Direct
0.626 0.626 0.626
0.626 0.626 0.122
0.626 0.122 0.626
0.122 0.626 0.626
0.250 0.250 0.250
0.000 0.000 0.000
```



Entry ii
DFT (PBE) results for KBaAg4 after structural relaxation.

```
KBaAg4
1.0
4.401 0.000 2.115
2.132 6.107 1.200
-0.440 -0.426 6.551
Ag Ba K
4 1 1
Direct
0.333 0.422 0.412
0.667 0.578 0.588
0.333 0.912 0.922
0.667 0.088 0.078
0.000 0.500 0.000
0.000 0.000 0.500
```



Stability summary - winner: entry ii; margin: 44 meV per atom.



Entry i
DFT (PBE) results for KBaNa2Ag after structural relaxation.

```
KBaNa2Ag
1.0
-2.041 -2.977 -4.916
4.740 -3.822 0.346
-3.405 -3.883 3.765
Ag Ba K Na
1 1 1 2
Direct
0.000 0.000 0.000
0.000 0.000 0.500
0.500 0.500 0.500
0.000 0.500 0.000
0.500 0.000 0.000
```



Entry ii
DFT (PBE) results for KBaNa2Ag after structural relaxation.

```
KBaNa2Ag
1.0
-3.128 4.432 2.517
-2.757 1.012 -5.209
-4.540 -4.115 1.604
Ba K Na Ag
1 1 2 1
Direct
0.500 0.500 0.500
0.000 0.000 0.500
0.000 0.500 0.000
0.500 0.000 0.000
0.000 0.000 0.000
```



Stability summary - winner: entry i; margin: 95 meV per atom.



Entry i
DFT (PBE) results for KBaAg2O after structural relaxation.

```
KBaAg2O
1.0
6.676 0.000 0.000
0.000 4.647 0.000
0.000 0.000 6.676
Ag K Ba O
2 1 1 1
Direct
0.000 0.000 0.500
0.500 0.000 0.000
0.500 0.500 0.500
0.000 0.000 0.000
0.000 0.500 0.000
```



Entry ii
DFT (PBE) results for KBaAg2O after structural relaxation.

```
KBaAg2O
1.0
5.718 0.000 0.000
0.000 4.910 0.000
0.000 0.000 5.718
Ag K O Ba
2 1 1 1
Direct
0.500 0.000 0.000
0.000 0.000 0.500
0.000 0.000 0.000
0.000 0.500 0.000
0.500 0.500 0.500
```



Stability summary - winner: entry i; margin: 334 meV per atom.